Entry 1:
A geometry-optimized Cu2GePd6 structure. Source: the Alexandria database, functional PBE-GGA.

Output
The volume is 132.5 Å³/cell. The formation enthalpy at 0 K is -0.210 eV/atom. The polymorph energy (0 for the lowest one) is 13 meV per atom.

Cell: 7.3094 7.3094 2.8635 Å, 90.00 90.00 120.00°
Closest atoms and distances in Å follow each position.
Space group P-62m (No. 189)
Symmetry-distinct sites (fractional):
Cu (0.3333, 0.6667, 0.0000) x2  9 Pd 2.64-2.70, 2 Cu 2.86
Ge (0.0000, 0.0000, 0.5000) x1  9 Pd 2.52-2.77
Pd (0.0000, 0.2830, 0.0000) x3  2 Ge 2.52, 2 Cu 2.64
Pd (0.0000, 0.6212, 0.5000) x3  4 Cu 2.70, 1 Ge 2.77, 8 Pd 2.86-2.88

---

Entry 2:
A geometry-optimized Sr4CaTa structure. Source: the Alexandria database, functional PBE-GGA.

Output
The volume is 1027.1 Å³/cell. The formation enthalpy at 0 K is 0.947 eV/atom.

Cell: 10.0896 10.0896 10.0896 Å, 90.00 90.00 90.00°
Closest atoms and distances in Å follow each position.
Space group F-43m (No. 216)
Symmetry-distinct sites (fractional):
Sr (0.1239, 0.1239, 0.1239) x16  6 Sr 3.54-3.60
Ca (0.0000, 0.0000, 0.5000) x4  12 Sr 4.19, 4 Ta 4.37
Ta (0.2500, 0.2500, 0.7500) x4  12 Sr 4.18, 4 Ca 4.37

---

Entry 3:
A geometry-optimized SiHg2Te structure. Source: the Alexandria database, functional PBE-GGA.

Output
As for the formation energy from raw total energies: 282 meV/atom. The volume is 493.9 Å³/cell. The polymorph energy (0 for the lowest one) is 167 meV per atom.

Cell: 6.5696 6.5696 11.4431 Å, 90.00 90.00 90.00°
Closest atoms and distances in Å follow each position.
Space group I-42d (No. 122)
Symmetry-distinct sites (fractional):
Si (0.0000, 0.0000, 0.0000) x4  4 Hg 2.56
Hg (0.2040, 0.2500, 0.1250) x8  2 Si 2.56
Te (0.0000, 0.0000, 0.5000) x4  4 Hg 2.92

---

Entry 4:
A geometry-optimized Ba8Rh2O structure. Source: the Alexandria database, functional PBE-GGA.

Output
As for the formation energy from raw total energies: -544 meV/atom. The volume is 1041.2 Å³/cell.

Cell: 14.9863 9.3601 7.6323 Å, 90.00 103.46 90.00°
Closest atoms and distances in Å follow each position.
Space group C2 (No. 5)
Symmetry-distinct sites (fractional):
Ba (0.1116, 0.0000, 0.2300) x4  1 O 2.54
Ba (0.1213, 0.2293, 0.8093) x4  1 O 2.69
Ba (0.1309, 0.4922, 0.2683) x4  1 Rh 2.89
Ba (0.1368, 0.7306, 0.7842) x4  2 Rh 3.12-3.14
Rh (0.2441, 0.4810, 0.0095) x4  6 Ba 2.89-3.17
O (0.0000, 0.1493, 0.0000) x2  4 Ba 2.54-2.69

---

Entry 5:
A geometry-optimized Sb2IrRu structure. Source: the Alexandria database, functional PBE-GGA.

Output
As for the formation energy from raw total energies: 152 meV/atom. The volume is 220.4 Å³/cell. The polymorph energy (0 for the lowest one) is 124 meV per atom.

Cell: 3.2252 3.2252 24.4647 Å, 90.00 90.00 120.00°
Closest atoms and distances in Å follow each position.
Space group R-3m (No. 166, hexagonal axes)
Symmetry-distinct sites (fractional):
Sb (0.0000, 0.0000, 0.2484) x6  3 Ru 2.73, 3 Ir 2.79
Ir (0.0000, 0.0000, 0.0000) x3  6 Sb 2.79
Ru (0.0000, 0.0000, 0.5000) x3  6 Sb 2.73

---

Entry 6:
A geometry-optimized YZn2I structure. Source: the Alexandria database, functional PBE-GGA.

Output
As for the formation energy from raw total energies: -66 meV/atom. The volume is 423.2 Å³/cell. The polymorph energy (0 for the lowest one) is 0 meV per atom.

Cell: 8.3565 8.3565 6.0600 Å, 90.00 90.00 90.00°
Closest atoms and distances in Å follow each position.
Space group I-42d (No. 122)
Symmetry-distinct sites (fractional):
Y (0.0000, 0.0000, 0.0000) x4  4 Zn 3.01, 2 I 3.03
Zn (0.2425, 0.2500, 0.1250) x8  2 Y 3.01, 2 Zn 3.03, 2 I 3.09
I (0.0000, 0.0000, 0.5000) x4  2 Y 3.03, 4 Zn 3.09

---

Entry 7:
A geometry-optimized Tb2Ce3TaN6 structure. Source: the Alexandria database, functional PBE-GGA.

Output
As for the formation energy from raw total energies: -1506 meV/atom. The volume is 348.2 Å³/cell.

Cell: 5.9542 10.3068 6.0106 Å, 90.00 109.25 90.00°
Closest atoms and distances in Å follow each position.
Space group C2/m (No. 12)
Symmetry-distinct sites (fractional):
Tb (0.0000, 0.1664, 0.0000) x4  6 N 2.44-2.45
Ce (0.0000, 0.0000, 0.5000) x2  6 N 2.46-2.63
Ce (0.0000, 0.3321, 0.5000) x4  6 N 2.45-2.64
Ta (0.0000, 0.5000, 0.0000) x2  6 N 2.23-2.25
N (0.2282, 0.3474, 0.2266) x8  1 Ta 2.23, 2 Tb 2.44, 2 Ce 2.46
N (0.2287, 0.5000, 0.7675) x4  1 Ta 2.25, 2 Ce 2.45, 2 Tb 2.45

---

Entry 8:
A geometry-optimized Rb2CdIn6Sn structure. Source: the Alexandria database, functional PBE-GGA.

Output
The volume is 2189.9 Å³/cell. The formation enthalpy at 0 K is 0.038 eV/atom.

Cell: 7.6955 7.6955 42.6981 Å, 90.00 90.00 120.00°
Closest atoms and distances in Å follow each position.
Space group R-3m (No. 166, hexagonal axes)
Symmetry-distinct sites (fractional):
Rb (0.0000, 0.0000, 0.1397) x6  12 In 3.74-3.97
Rb (0.0000, 0.0000, 0.3098) x6  12 In 4.15-4.44, 1 Sn 4.40, 3 Cd 4.56
Cd (0.0000, 0.0000, 0.0000) x3  6 In 3.03
Cd (0.0000, 0.0000, 0.5000) x3  6 In 3.31
In (0.0529, 0.5265, 0.8821) x18  1 Sn 3.05, 2 In 3.24, 1 Cd 3.31
In (0.0731, 0.5366, 0.7248) x18  1 Sn 2.86, 2 In 3.00, 1 Cd 3.03
Sn (0.0000, 0.0000, 0.4129) x6  6 In 2.86-3.05

---

Entry 9:
A geometry-optimized MgPaP2 structure. Source: the Alexandria database, functional PBE-GGA.

Output
The volume is 250.3 Å³/cell. The formation enthalpy at 0 K is -0.884 eV/atom. The polymorph energy (0 for the lowest one) is 0 meV per atom.

Cell: 3.9764 3.9764 18.2772 Å, 90.00 90.00 120.00°
Closest atoms and distances in Å follow each position.
Space group R-3m (No. 166, hexagonal axes)
Symmetry-distinct sites (fractional):
Mg (0.0000, 0.0000, 0.0000) x3  6 P 2.73
Pa (0.0000, 0.0000, 0.5000) x3  6 P 2.78
P (0.0000, 0.0000, 0.2521) x6  3 Mg 2.73, 3 Pa 2.78

---

Entry 10:
A geometry-optimized Pu2AgGe3Pt4 structure. Source: the Alexandria database, functional PBE-GGA.

Output
The volume is 193.2 Å³/cell. The formation enthalpy at 0 K is -0.593 eV/atom.

Cell: 4.0936 4.0936 11.5290 Å, 90.00 90.00 90.00°
Closest atoms and distances in Å follow each position.
Space group P-4m2 (No. 115)
Symmetry-distinct sites (fractional):
Pu (0.0000, 0.5000, 0.2485) x2  4 Pt 3.07, 4 Ge 3.22
Ag (0.5000, 0.5000, 0.0000) x1  4 Pt 2.75, 4 Ge 2.89
Ge (0.0000, 0.0000, 0.0000) x1  4 Pt 2.75, 4 Ag 2.89
Ge (0.0000, 0.5000, 0.6299) x2  5 Pt 2.43-2.54
Pt (0.0000, 0.0000, 0.5000) x1  4 Ge 2.54
Pt (0.0000, 0.5000, 0.8410) x2  1 Ge 2.43
Pt (0.5000, 0.5000, 0.5000) x1  4 Ge 2.54

---

Entry 11:
A geometry-optimized Ho5Ga4Ru structure. Source: the Alexandria database, functional PBE-GGA.

Output
The volume is 219.1 Å³/cell. The formation enthalpy at 0 K is -0.567 eV/atom.

Cell: 3.5089 3.5089 17.7994 Å, 90.00 90.00 90.00°
Closest atoms and distances in Å follow each position.
Space group P4/mmm (No. 123)
Symmetry-distinct sites (fractional):
Ho (0.0000, 0.0000, 0.0000) x1  8 Ga 3.07
Ho (0.0000, 0.0000, 0.2041) x2  8 Ga 3.06-3.08
Ho (0.0000, 0.0000, 0.4091) x2  4 Ru 2.96, 4 Ga 3.10, 1 Ho 3.24
Ga (0.5000, 0.5000, 0.1019) x2  8 Ho 3.07-3.08
Ga (0.5000, 0.5000, 0.3049) x2  8 Ho 3.06-3.10
Ru (0.5000, 0.5000, 0.5000) x1  8 Ho 2.96

---

Entry 12:
A geometry-optimized BeMoCl2 structure. Source: the Alexandria database, functional PBE-GGA.

Output
As for the formation energy from raw total energies: 444 meV/atom. The volume is 157.2 Å³/cell. The polymorph energy (0 for the lowest one) is 748 meV per atom.

Cell: 2.9190 5.5492 9.7039 Å, 90.00 90.00 90.00°
Closest atoms and distances in Å follow each position.
Space group Cmmm (No. 65)
Symmetry-distinct sites (fractional):
Be (0.0000, 0.0000, 0.0000) x2  6 Be 2.92-3.14, 4 Cl 3.24
Mo (0.0000, 0.0000, 0.5000) x2  4 Cl 2.44
Cl (0.0000, 0.5000, 0.2982) x4  2 Mo 2.44

---

Entry 13:
A geometry-optimized YAl3S structure. Source: the Alexandria database, functional PBE-GGA.

Output
As for the formation energy from raw total energies: 1293 meV/atom. The volume is 178.7 Å³/cell. The polymorph energy (0 for the lowest one) is 1192 meV per atom.

Cell: 5.6324 5.6324 5.6324 Å, 90.00 90.00 90.00°
Closest atoms and distances in Å follow each position.
Space group Pm-3m (No. 221)
Symmetry-distinct sites (fractional):
Y (0.0000, 0.0000, 0.0000) x1  6 Al 2.82
Al (0.0000, 0.0000, 0.5000) x3  2 Y 2.82
S (0.5000, 0.5000, 0.5000) x1  12 Al 3.98

---

Entry 14:
A geometry-optimized Sr3Al9Zn2 structure. Source: the Alexandria database, functional PBE-GGA.

Output
The volume is 606.3 Å³/cell. The formation enthalpy at 0 K is -0.195 eV/atom.

Cell: 4.5272 10.2717 13.0380 Å, 90.00 90.00 90.00°
Closest atoms and distances in Å follow each position.
Space group Immm (No. 71)
Symmetry-distinct sites (fractional):
Sr (0.0000, 0.0000, 0.0000) x2  12 Al 3.37
Sr (0.0000, 0.0000, 0.3090) x4  2 Zn 3.25, 12 Al 3.29-3.62
Al (0.0000, 0.2776, 0.1378) x8  4 Al 2.71-2.91, 2 Zn 2.90
Al (0.0000, 0.3655, 0.3408) x8  1 Zn 2.66, 4 Al 2.71-2.80
Al (0.0000, 0.5000, 0.0000) x2  4 Al 2.91, 4 Zn 3.08
Zn (0.0000, 0.2032, 0.5000) x4  6 Al 2.66-2.90